1.
Compound: CaSnP2Se8
Source: Alexandria
Functional: PBE-GGA
Structure: relaxed

abc: 6.4569 6.4569 9.2507
angles: 90.00 90.00 120.00
Fractional coordinates of all 12 atoms:
Ca  0.0000  0.0000  0.0000
Sn  0.0000  0.0000  0.5000
P  0.3333  0.6667  0.7667
P  0.6667  0.3333  0.2333
Se  0.0094  0.3087  0.7109
Se  0.2993  0.9906  0.7109
Se  0.3087  0.2993  0.2891
Se  0.3333  0.6667  0.0010
Se  0.6667  0.3333  0.9990
Se  0.6913  0.7007  0.7109
Se  0.7007  0.0094  0.2891
Se  0.9906  0.6913  0.2891

## Properties
N(E_F) ... 2.25 states/eV per cell
Crystal system ... trigonal



2.
Compound: CaTbPSe
Source: Alexandria
Functional: PBE-GGA
Structure: relaxed

abc: 7.2208 7.2208 7.2208
angles: 33.13 33.13 33.13
Fractional coordinates of all 4 atoms:
Ca  0.0000  0.0000  0.0000
Tb  0.5118  0.5118  0.5118
P  0.2504  0.2504  0.2504
Se  0.7568  0.7568  0.7568

## Properties
Crystal system ... trigonal



3.
Compound: CaTcP2Se
Source: Alexandria
Functional: PBE-GGA
Structure: relaxed

abc: 4.9859 4.9859 4.5202
angles: 90.00 90.00 90.00
Fractional coordinates of all 5 atoms:
Ca  0.0000  0.0000  0.0000
Tc  0.5000  0.5000  0.0000
P  0.0000  0.5000  0.5000
P  0.5000  0.0000  0.5000
Se  0.5000  0.5000  0.5000

## Properties
N(E_F) ... 3.83 states/eV per cell
Crystal system ... tetragonal



Uncorrected energy
In order: -0.14898; -0.20640; -0.17352
Unit: Ha/atom
Formation energy from raw total energies
In order: -0.329; -1.735; 0.613
Unit: eV/atom